Cr2TcW: optimized geometry, PBE.

a = 3.642 Å, b = 3.642 Å, c = 8.366 Å
α = 90.00°, β = 90.00°, γ = 90.00°
Space group I-4m2 (No. 119)
Inequivalent atoms, fractional coordinates:
Cr (0.000, 0.000, 0.000)
Cr (0.000, 0.500, 0.250)
Tc (0.000, 0.500, 0.750)
W (0.000, 0.000, 0.500)

**Formation energy**: 0.312 eV/atom
**N(E_F)**: 1.464 states/eV per atom
**Polymorph energy (0 for the lowest one)**: 0.263 eV/atom
**Crystal system**: tetragonal